Compound: As2PtPb
Source: the Alexandria database
Functional: PBE-GGA
Structure: relaxed

Energy of formation   0.04 eV per atom
Crystal system   tetragonal
Calculated total energy   -18.882 eV for the cell shown
Space group   No. 99
Total magnetization   0.000 μB/f.u.

a = 3.4374 Å, b = 3.4360 Å, c = 7.3249 Å
α = 90.00°, β = 90.00°, γ = 90.00°
With the nearest neighbours (Å) after each atom.
Fractional coordinates of all 4 atoms:
As: 0.0000 0.0000 0.9830  4 Pt 2.76, 4 As 2.78
As: 0.5000 0.5000 0.1684  1 Pt 2.67, 4 As 2.78
Pb: 0.0000 0.0000 0.5448  4 Pt 3.08, 1 As 3.21, 4 Pb 3.44
Pt: 0.5000 0.5000 0.8038  5 As 2.67-2.76